No. 1
The following is a PBE-GGA calculation of a geometry-optimized Hf4BiAsC2 structure, from OQMD via LeMat-Bulk.

```
data_Hf4BiAsC2
_chemical_formula_sum 'Hf4 Bi1 As1 C2'
_symmetry_space_group_name_H-M 'P -6 m 2'
_symmetry_Int_Tables_number 187
_symmetry_space_group_name_Hall 'P -6 2'
_cell_length_a 3.4215
_cell_length_b 3.4215
_cell_length_c 13.5106
_cell_angle_alpha 90.00
_cell_angle_beta 90.00
_cell_angle_gamma 120.00
loop_
_atom_site_label
_atom_site_type_symbol
_atom_site_fract_x
_atom_site_fract_y
_atom_site_fract_z
Hf1 Hf 0.0000 0.0000 0.1411
Hf2 Hf 0.3333 0.6667 0.3192
Bi1 Bi 0.0000 0.0000 0.5000
As1 As 0.3333 0.6667 0.0000
C1 C 0.6667 0.3333 0.2326
```

Values from the calculation:
VASP energy ... -73.3 eV/cell

---

No. 2
The following is a PBE-GGA calculation of a geometry-optimized ZrBi structure, from OQMD via LeMat-Bulk.

```
data_ZrBi
_chemical_formula_sum 'Zr4 Bi4'
_symmetry_space_group_name_H-M 'P 63/m m c'
_symmetry_Int_Tables_number 194
_symmetry_space_group_name_Hall '-P 6c 2c'
_cell_length_a 4.2060
_cell_length_b 4.2060
_cell_length_c 14.0020
_cell_angle_alpha 90.00
_cell_angle_beta 90.00
_cell_angle_gamma 120.00
loop_
_atom_site_label
_atom_site_type_symbol
_atom_site_fract_x
_atom_site_fract_y
_atom_site_fract_z
Zr1 Zr 0.3333 0.6667 0.1188
Bi1 Bi 0.0000 0.0000 0.0000
Bi2 Bi 0.3333 0.6667 0.7500
```

Values from the calculation:
VASP energy ... -52.6 eV/cell

---

No. 3
The following is a PBE-GGA calculation of a geometry-optimized Nd3GaNiS7 structure, from OQMD via LeMat-Bulk.

```
data_Nd3GaNiS7
_chemical_formula_sum 'Nd6 Ga2 Ni2 S14'
_symmetry_space_group_name_H-M 'P 63'
_symmetry_Int_Tables_number 173
_cell_length_a 9.8586
_cell_length_b 9.8586
_cell_length_c 6.2086
_cell_angle_alpha 90.00
_cell_angle_beta 90.00
_cell_angle_gamma 120.00
loop_
_symmetry_equiv_pos_as_xyz
'x,y,z'
'x-y,x,z+1/2'
'-y,x-y,z'
'-x,-y,z+1/2'
'-x+y,-x,z'
'y,-x+y,z+1/2'
loop_
_atom_site_label
_atom_site_type_symbol
_atom_site_fract_x
_atom_site_fract_y
_atom_site_fract_z
Nd1 Nd 0.1535 0.7791 0.0000
Ga1 Ga 0.3333 0.6667 0.5748
Ni1 Ni 0.0000 0.0000 0.1855
S1 S 0.0901 0.5212 0.7242
S2 S 0.0950 0.8685 0.4198
S3 S 0.3333 0.6667 0.2115
```

Values from the calculation:
VASP energy ... -138.9 eV/cell

---

No. 4
The following is a PBE-GGA calculation of a geometry-optimized ReAsNO structure, from OQMD via LeMat-Bulk.

```
data_ReAsNO
_chemical_formula_sum 'Re4 As4 N4 O4'
_symmetry_space_group_name_H-M 'P c a 21'
_symmetry_Int_Tables_number 29
_cell_length_a 5.859
_cell_length_b 7.269
_cell_length_c 4.973
_cell_angle_alpha 90.00
_cell_angle_beta 90.00
_cell_angle_gamma 90.00
loop_
_symmetry_equiv_pos_as_xyz
'x,y,z'
'-x,-y,z+1/2'
'-x+1/2,y,z+1/2'
'x+1/2,-y,z'
loop_
_atom_site_label
_atom_site_type_symbol
_atom_site_fract_x
_atom_site_fract_y
_atom_site_fract_z
Re1 Re 0.106 0.056 0.000
As1 As 0.103 0.679 0.929
N1 N 0.086 0.157 0.625
O1 O 0.053 0.332 0.121
```

Values from the calculation:
Polymorph energy (0 for the lowest one) ... 145 meV/atom

---

No. 5
The following is a PBE-GGA calculation of a geometry-optimized Ho2Be12Sb3As7 structure, from OQMD via LeMat-Bulk.

```
data_Ho2Be12Sb3As7
_chemical_formula_sum 'Ho16 Be96 Sb24 As56'
_symmetry_space_group_name_H-M 'I 41/a c d'
_symmetry_Int_Tables_number 142
_cell_length_a 14.874
_cell_length_b 14.874
_cell_length_c 15.453
_cell_angle_alpha 90.00
_cell_angle_beta 90.00
_cell_angle_gamma 90.00
loop_
_symmetry_equiv_pos_as_xyz
'x,y,z'
'-x,-y,-z'
'-y+1/4,x+3/4,z+1/4'
'y+1/4,-x+3/4,-z+1/4'
'-x+1/2,-y,z+1/2'
'x+1/2,y,-z+1/2'
'y+1/4,-x+1/4,z+3/4'
'-y+1/4,x+1/4,-z+3/4'
'x,-y,-z+1/2'
'-x,y,z+1/2'
'-y+1/4,-x+1/4,-z+1/4'
'y+1/4,x+1/4,z+1/4'
'-x+1/2,y,-z'
'x+1/2,-y,z'
'y+1/4,x+3/4,-z+3/4'
'-y+1/4,-x+3/4,z+3/4'
'x+1/2,y+1/2,z+1/2'
'-x+1/2,-y+1/2,-z+1/2'
'-y+3/4,x+1/4,z+3/4'
'y+3/4,-x+1/4,-z+3/4'
'-x,-y+1/2,z'
'x,y+1/2,-z'
'y+3/4,-x+3/4,z+1/4'
'-y+3/4,x+3/4,-z+1/4'
'x+1/2,-y+1/2,-z'
'-x+1/2,y+1/2,z'
'-y+3/4,-x+3/4,-z+3/4'
'y+3/4,x+3/4,z+3/4'
'-x,y+1/2,-z+1/2'
'x,-y+1/2,z+1/2'
'y+3/4,x+1/4,-z+1/4'
'-y+3/4,-x+1/4,z+1/4'
loop_
_atom_site_label
_atom_site_type_symbol
_atom_site_fract_x
_atom_site_fract_y
_atom_site_fract_z
Ho1 Ho 0.000 0.000 0.000
Be1 Be 0.028 0.069 0.195
Be2 Be 0.060 0.160 0.764
Be3 Be 0.200 0.043 0.903
Sb1 Sb 0.000 0.250 0.125
Sb2 Sb 0.154 0.000 0.750
As1 As 0.000 0.250 0.375
As2 As 0.058 0.079 0.338
As3 As 0.154 0.096 0.125
```

Values from the calculation:
VASP energy ... -742.8 eV/cell

---

No. 6
The following is a PBE-GGA calculation of a geometry-optimized YZnCoAg structure, from OQMD via LeMat-Bulk.

```
data_YZnCoAg
_chemical_formula_sum 'Y4 Zn4 Co4 Ag4'
_symmetry_space_group_name_H-M 'F -4 3 m'
_symmetry_Int_Tables_number 216
_symmetry_space_group_name_Hall 'F -4 2 3'
_cell_length_a 6.641
_cell_length_b 6.641
_cell_length_c 6.641
_cell_angle_alpha 90.00
_cell_angle_beta 90.00
_cell_angle_gamma 90.00
loop_
_atom_site_label
_atom_site_type_symbol
_atom_site_fract_x
_atom_site_fract_y
_atom_site_fract_z
Y1 Y 0.000 0.000 0.000
Zn1 Zn 0.250 0.250 0.250
Co1 Co 0.000 0.000 0.500
Ag1 Ag 0.250 0.250 0.750
```

Values from the calculation:
E_form ... 5 kJ per mole of atoms
Polymorph energy (0 for the lowest one) ... 83 meV/atom

---

No. 7
The following is a PBE-GGA calculation of a geometry-optimized AgTePbF structure, from OQMD via LeMat-Bulk.

```
data_AgTePbF
_chemical_formula_sum 'Ag6 Te6 Pb6 F6'
_symmetry_space_group_name_H-M 'R -3 m'
_symmetry_Int_Tables_number 166
_symmetry_space_group_name_Hall '-R 3 2"'
_cell_length_a 4.1992
_cell_length_b 4.1992
_cell_length_c 37.4193
_cell_angle_alpha 90.00
_cell_angle_beta 90.00
_cell_angle_gamma 120.00
loop_
_atom_site_label
_atom_site_type_symbol
_atom_site_fract_x
_atom_site_fract_y
_atom_site_fract_z
Ag1 Ag 0.0000 0.0000 0.1295
Te1 Te 0.0000 0.0000 0.4162
Pb1 Pb 0.0000 0.0000 0.2981
F1 F 0.0000 0.0000 0.1924
```

Values from the calculation:
Polymorph energy (0 for the lowest one) ... 384 meV/atom

---

No. 8
The following is a PBE-GGA calculation of a geometry-optimized Sm2Sc2BiSb structure, from OQMD via LeMat-Bulk.

```
data_Sm2Sc2BiSb
_chemical_formula_sum 'Sm4 Sc4 Bi2 Sb2'
_symmetry_space_group_name_H-M 'I 4 m m'
_symmetry_Int_Tables_number 107
_symmetry_space_group_name_Hall 'I 4 -2'
_cell_length_a 4.455
_cell_length_b 4.455
_cell_length_c 16.596
_cell_angle_alpha 90.00
_cell_angle_beta 90.00
_cell_angle_gamma 90.00
loop_
_atom_site_label
_atom_site_type_symbol
_atom_site_fract_x
_atom_site_fract_y
_atom_site_fract_z
Sm1 Sm 0.000 0.000 0.000
Sm2 Sm 0.000 0.000 0.351
Sc1 Sc 0.000 0.500 0.170
Bi1 Bi 0.000 0.000 0.802
Sb1 Sb 0.000 0.000 0.545
```

Values from the calculation:
VASP energy ... -69.6 eV/cell

---

No. 9
The following is a PBE-GGA calculation of a geometry-optimized GdErAg2Sn2 structure, from OQMD via LeMat-Bulk.

```
data_GdErAg2Sn2
_chemical_formula_sum 'Gd1 Er1 Ag2 Sn2'
_symmetry_space_group_name_H-M 'P 3 m 1'
_symmetry_Int_Tables_number 156
_cell_length_a 4.7261
_cell_length_b 4.7261
_cell_length_c 7.3568
_cell_angle_alpha 90.00
_cell_angle_beta 90.00
_cell_angle_gamma 120.00
loop_
_symmetry_equiv_pos_as_xyz
'x,y,z'
'-y,x-y,z'
'-x+y,-x,z'
'-y,-x,z'
'-x+y,y,z'
'x,x-y,z'
loop_
_atom_site_label
_atom_site_type_symbol
_atom_site_fract_x
_atom_site_fract_y
_atom_site_fract_z
Gd1 Gd 0.0000 0.0000 0.0000
Er1 Er 0.0000 0.0000 0.5008
Ag1 Ag 0.3333 0.6667 0.1927
Ag2 Ag 0.6667 0.3333 0.6877
Sn1 Sn 0.3333 0.6667 0.7775
Sn2 Sn 0.6667 0.3333 0.2817
```

Values from the calculation:
VASP energy ... -26.4 eV/cell

---

No. 10
The following is a PBE-GGA calculation of a geometry-optimized TaTcNO structure, from OQMD via LeMat-Bulk.

```
data_TaTcNO
_chemical_formula_sum 'Ta2 Tc2 N2 O2'
_symmetry_space_group_name_H-M 'P m c 21'
_symmetry_Int_Tables_number 26
_cell_length_a 2.970
_cell_length_b 4.889
_cell_length_c 6.599
_cell_angle_alpha 90.00
_cell_angle_beta 90.00
_cell_angle_gamma 90.00
loop_
_symmetry_equiv_pos_as_xyz
'x,y,z'
'-x,-y,z+1/2'
'-x,y,z'
'x,-y,z+1/2'
loop_
_atom_site_label
_atom_site_type_symbol
_atom_site_fract_x
_atom_site_fract_y
_atom_site_fract_z
Ta1 Ta 0.000 0.180 0.000
Tc1 Tc 0.500 0.309 0.510
N1 N 0.000 0.164 0.693
O1 O 0.500 0.321 0.195
```

Values from the calculation:
Polymorph energy (0 for the lowest one) ... 240 meV/atom

---

No. 11
The following is a PBE-GGA calculation of a geometry-optimized Pr2TmAl7Cu2 structure, from OQMD via LeMat-Bulk.

```
data_Pr2TmAl7Cu2
_chemical_formula_sum 'Pr6 Tm3 Al21 Cu6'
_symmetry_space_group_name_H-M 'R -3 m'
_symmetry_Int_Tables_number 166
_symmetry_space_group_name_Hall '-R 3 2"'
_cell_length_a 5.5698
_cell_length_b 5.5698
_cell_length_c 25.7770
_cell_angle_alpha 90.00
_cell_angle_beta 90.00
_cell_angle_gamma 120.00
loop_
_atom_site_label
_atom_site_type_symbol
_atom_site_fract_x
_atom_site_fract_y
_atom_site_fract_z
Pr1 Pr 0.0000 0.0000 0.1413
Tm1 Tm 0.0000 0.0000 0.0000
Al1 Al 0.0000 0.0000 0.5000
Al2 Al 0.0052 0.5026 0.9236
Cu1 Cu 0.0000 0.0000 0.3352
```

Values from the calculation:
VASP energy ... -159.1 eV/cell

---

No. 12
The following is a PBE-GGA calculation of a geometry-optimized ErTaAsO structure, from OQMD via LeMat-Bulk.

```
data_ErTaAsO
_chemical_formula_sum 'Er2 Ta2 As2 O2'
_symmetry_space_group_name_H-M 'P m c 21'
_symmetry_Int_Tables_number 26
_cell_length_a 3.758
_cell_length_b 7.326
_cell_length_c 5.685
_cell_angle_alpha 90.00
_cell_angle_beta 90.00
_cell_angle_gamma 90.00
loop_
_symmetry_equiv_pos_as_xyz
'x,y,z'
'-x,-y,z+1/2'
'-x,y,z'
'x,-y,z+1/2'
loop_
_atom_site_label
_atom_site_type_symbol
_atom_site_fract_x
_atom_site_fract_y
_atom_site_fract_z
Er1 Er 0.000 0.230 0.000
Ta1 Ta 0.500 0.407 0.504
As1 As 0.000 0.161 0.486
O1 O 0.500 0.330 0.861
```

Values from the calculation:
Polymorph energy (0 for the lowest one) ... 483 meV/atom